# 1
! Na5B7C3 PBE-GGA optimized geometry; values from VASP
! Formation energy in eV per formula unit: 2.24
! Total magnetic moment in μB/f.u.: 0.0
! Energy above the most stable polymorph in this dataset in eV/atom: 0.0363
&SYSTEM
  ibrav = 0, nat = 30, ntyp = 3
/
ATOMIC_SPECIES
C 12.01 C.upf
B 10.81 B.upf
Na 22.99 Na.upf
CELL_PARAMETERS angstrom
7.686 -0.007 0.000
-6.043 4.749 0.000
0.000 0.000 8.574
ATOMIC_POSITIONS crystal
C 0.065 0.266 0.250
C 0.328 0.328 0.750
C 0.666 0.665 0.250
C 0.733 0.923 0.750
C 0.863 0.463 0.250
C 0.923 0.733 0.750
B 0.118 0.520 0.750
B 0.747 0.938 0.250
B 0.888 0.503 0.750
B 0.464 0.862 0.250
B 0.553 0.153 0.250
B 0.663 0.663 0.750
B 0.502 0.888 0.750
B 0.259 0.070 0.750
B 0.262 0.064 0.250
B 0.338 0.347 0.250
B 0.070 0.259 0.750
B 0.520 0.118 0.750
B 0.122 0.520 0.250
B 0.921 0.722 0.250
Na 0.399 0.599 0.500
Na 0.800 0.200 0.001
Na 0.999 0.000 0.499
Na 0.999 0.000 0.001
Na 0.399 0.599 0.000
Na 0.199 0.799 0.003
Na 0.199 0.799 0.497
Na 0.800 0.200 0.499
Na 0.601 0.400 0.500
Na 0.601 0.400 0.000



# 2
! Tb2CdTe PBE-GGA optimized geometry; values from VASP
! E_form (uncorrected) in kJ per mole of atoms: -72
! Total magnetic moment in μB/f.u.: 0.0
! Energy above the most stable polymorph in this dataset in eV/atom: 0.0000
&SYSTEM
  ibrav = 0, nat = 4, ntyp = 3
/
ATOMIC_SPECIES
Cd 112.41 Cd.upf
Tb 158.93 Tb.upf
Te 127.60 Te.upf
CELL_PARAMETERS angstrom
4.164 0.000 0.000
2.082 3.606 0.000
2.082 1.202 7.860
ATOMIC_POSITIONS crystal
Cd 0.000 0.000 0.000
Tb 0.248 0.248 0.256
Tb 0.752 0.752 0.744
Te 0.500 0.500 0.500



# 3
! LaY2Er3Se6 PBE-GGA optimized geometry; values from VASP
! E_form (uncorrected) in kJ per mole of atoms: -170
! Total magnetic moment in μB/f.u.: 0.0
&SYSTEM
  ibrav = 0, nat = 12, ntyp = 4
/
ATOMIC_SPECIES
Se 78.96 Se.upf
Y 88.91 Y.upf
Er 167.26 Er.upf
La 138.91 La.upf
CELL_PARAMETERS angstrom
-2.818 -2.742 -1.064
5.496 -6.081 1.117
-2.477 2.255 8.545
ATOMIC_POSITIONS crystal
Se 0.666 0.586 0.333
Se 0.000 0.735 0.000
Se 0.673 0.083 0.347
Se 0.327 0.917 0.653
Se 0.334 0.414 0.667
Se 0.000 0.265 0.000
Y 0.166 0.331 0.331
Y 0.834 0.669 0.669
Er 0.500 0.500 0.000
Er 0.837 0.167 0.673
Er 0.163 0.833 0.327
La 0.500 0.000 0.000



# 4
! ScBe PBE-GGA optimized geometry; values from VASP
! Formation energy in eV per formula unit: -0.05
! Total magnetic moment in μB/f.u.: 0.0
&SYSTEM
  ibrav = 0, nat = 16, ntyp = 2
/
ATOMIC_SPECIES
Be 9.01 Be.upf
Sc 44.96 Sc.upf
CELL_PARAMETERS angstrom
-0.818 -10.405 -0.936
1.206 0.282 -4.192
5.274 -0.548 1.480
ATOMIC_POSITIONS crystal
Be 0.192 0.750 0.059
Be 0.308 0.250 0.559
Be 0.692 0.750 0.441
Be 0.885 0.750 0.697
Be 0.385 0.750 0.803
Be 0.615 0.250 0.197
Be 0.115 0.250 0.303
Be 0.808 0.250 0.941
Sc 0.173 0.750 0.545
Sc 0.954 0.750 0.177
Sc 0.454 0.750 0.323
Sc 0.327 0.250 0.045
Sc 0.673 0.750 0.955
Sc 0.546 0.250 0.677
Sc 0.046 0.250 0.823
Sc 0.827 0.250 0.455



# 5
! UBIr2 PBE-GGA optimized geometry; values from VASP
! Formation energy in eV per formula unit: -0.90
! Total magnetic moment in μB/f.u.: 0.5
&SYSTEM
  ibrav = 0, nat = 4, ntyp = 3
/
ATOMIC_SPECIES
B 10.81 B.upf
Ir 192.22 Ir.upf
U 238.03 U.upf
CELL_PARAMETERS angstrom
3.812 0.000 0.000
1.906 3.301 0.000
1.906 1.100 5.028
ATOMIC_POSITIONS crystal
B 0.500 0.500 0.500
Ir 0.780 0.780 0.659
Ir 0.220 0.220 0.341
U 0.000 0.000 0.000



# 6
! CaFe2Te PBE-GGA optimized geometry; values from VASP
! E_form (uncorrected) in kJ per mole of atoms: 1
! Total magnetic moment in μB/f.u.: 3.5
! Energy above the most stable polymorph in this dataset in eV/atom: 0.1270
&SYSTEM
  ibrav = 0, nat = 4, ntyp = 3
/
ATOMIC_SPECIES
Fe 55.84 Fe.upf
Ca 40.08 Ca.upf
Te 127.60 Te.upf
CELL_PARAMETERS angstrom
-4.782 2.974 -1.232
-5.524 -1.320 -0.982
-5.008 1.021 2.665
ATOMIC_POSITIONS crystal
Fe 0.569 0.569 0.569
Fe 0.931 0.931 0.931
Ca 0.750 0.750 0.750
Te 0.250 0.250 0.250



# 7
! CaCd2Fe PBE-GGA optimized geometry; values from VASP
! Formation energy in eV per formula unit: 0.95
! Total magnetic moment in μB/f.u.: 2.2
&SYSTEM
  ibrav = 0, nat = 4, ntyp = 3
/
ATOMIC_SPECIES
Cd 112.41 Cd.upf
Ca 40.08 Ca.upf
Fe 55.84 Fe.upf
CELL_PARAMETERS angstrom
-1.070 4.214 3.603
-3.789 3.720 1.918
-2.360 -1.873 4.360
ATOMIC_POSITIONS crystal
Cd 0.984 0.984 0.032
Cd 0.222 0.222 0.229
Ca 0.772 0.772 0.692
Fe 0.522 0.522 0.546



# 8
! DyY2Er2Sc2 PBE-GGA optimized geometry; values from VASP
! Formation energy in eV per formula unit: 0.76
! Total magnetic moment in μB/f.u.: 0.0
&SYSTEM
  ibrav = 0, nat = 7, ntyp = 4
/
ATOMIC_SPECIES
Sc 44.96 Sc.upf
Y 88.91 Y.upf
Er 167.26 Er.upf
Dy 162.50 Dy.upf
CELL_PARAMETERS angstrom
-1.806 -1.842 -2.236
5.641 -1.430 -0.772
2.178 -9.538 6.099
ATOMIC_POSITIONS crystal
Sc 0.227 0.454 0.634
Sc 0.773 0.546 0.366
Y 0.330 0.660 0.087
Y 0.670 0.340 0.913
Er 0.452 0.904 0.767
Er 0.548 0.096 0.233
Dy 0.000 0.000 0.500



# 9
! LiNiBr PBE-GGA optimized geometry; values from VASP
! E_form (uncorrected) in kJ per mole of atoms: -36
! Total magnetic moment in μB/f.u.: 0.0
! Energy above the most stable polymorph in this dataset in eV/atom: 0.0833
&SYSTEM
  ibrav = 0, nat = 6, ntyp = 3
/
ATOMIC_SPECIES
Br 79.90 Br.upf
Li 6.94 Li.upf
Ni 58.69 Ni.upf
CELL_PARAMETERS angstrom
-0.034 -6.789 -6.569
1.969 -2.752 -7.352
1.424 2.543 7.550
ATOMIC_POSITIONS crystal
Br 0.772 0.958 0.042
Br 0.228 0.042 0.958
Li 0.500 0.500 0.500
Li 0.000 0.000 0.000
Ni 0.414 0.343 0.657
Ni 0.586 0.657 0.343



# 10
! Ba2Ge3Pd4 PBE-GGA optimized geometry; values from VASP
! Formation energy in eV per formula unit: -3.60
! Total magnetic moment in μB/f.u.: 0.0
&SYSTEM
  ibrav = 0, nat = 9, ntyp = 3
/
ATOMIC_SPECIES
Ba 137.33 Ba.upf
Pd 106.42 Pd.upf
Ge 72.64 Ge.upf
CELL_PARAMETERS angstrom
-1.354 -5.891 0.683
5.596 2.271 -0.729
-1.515 2.436 6.629
ATOMIC_POSITIONS crystal
Ba 0.650 0.650 0.299
Ba 0.350 0.350 0.701
Pd 0.045 0.643 0.688
Pd 0.955 0.357 0.312
Pd 0.357 0.955 0.312
Pd 0.643 0.045 0.688
Ge 0.000 0.500 0.000
Ge 0.500 0.000 0.000
Ge 0.000 0.000 0.000



# 11
! CsCdCuF6 PBE-GGA optimized geometry; values from VASP
! E_form (uncorrected) in kJ per mole of atoms: -196
! Total magnetic moment in μB/f.u.: 1.2
&SYSTEM
  ibrav = 0, nat = 18, ntyp = 4
/
ATOMIC_SPECIES
F 19.00 F.upf
Cu 63.55 Cu.upf
Cd 112.41 Cd.upf
Cs 132.91 Cs.upf
CELL_PARAMETERS angstrom
-7.643 0.161 1.317
-0.426 -7.468 -1.560
4.878 2.554 5.152
ATOMIC_POSITIONS crystal
F 0.196 0.362 0.741
F 0.804 0.638 0.259
F 0.455 0.121 0.259
F 0.545 0.879 0.741
F 0.492 0.742 0.985
F 0.804 0.121 0.259
F 0.149 0.899 0.299
F 0.545 0.362 0.741
F 0.851 0.101 0.701
F 0.455 0.638 0.259
F 0.508 0.258 0.015
F 0.196 0.879 0.741
Cu 0.500 0.000 0.000
Cu 0.500 0.500 0.000
Cd 0.000 0.000 0.500
Cd 0.500 0.000 0.500
Cs 0.855 0.605 0.710
Cs 0.145 0.395 0.290



# 12
! RbFe2SnI8 PBE-GGA optimized geometry; values from VASP
! E_form (uncorrected) in kJ per mole of atoms: -44
! Total magnetic moment in μB/f.u.: 9.0
&SYSTEM
  ibrav = 0, nat = 12, ntyp = 4
/
ATOMIC_SPECIES
Fe 55.84 Fe.upf
Sn 118.71 Sn.upf
I 126.90 I.upf
Rb 85.47 Rb.upf
CELL_PARAMETERS angstrom
-2.324 -5.004 -5.098
5.714 -4.268 -2.358
-1.706 -7.955 7.143
ATOMIC_POSITIONS crystal
Fe 0.384 0.384 0.781
Fe 0.616 0.616 0.219
Sn 0.000 0.000 0.000
I 0.242 0.727 0.218
I 0.758 0.273 0.782
I 0.273 0.758 0.782
I 0.742 0.742 0.013
I 0.701 0.701 0.422
I 0.258 0.258 0.987
I 0.299 0.299 0.578
I 0.727 0.242 0.218
Rb 0.000 0.000 0.500



# 13
! BaZrBi2Pd PBE-GGA optimized geometry; values from VASP
! Formation energy in eV per formula unit: 2.25
! Total magnetic moment in μB/f.u.: 0.0
&SYSTEM
  ibrav = 0, nat = 5, ntyp = 4
/
ATOMIC_SPECIES
Pd 106.42 Pd.upf
Bi 208.98 Bi.upf
Ba 137.33 Ba.upf
Zr 91.22 Zr.upf
CELL_PARAMETERS angstrom
5.603 0.000 0.000
0.000 6.140 0.000
0.000 0.000 5.603
ATOMIC_POSITIONS crystal
Pd 0.500 0.500 0.500
Bi 0.000 0.000 0.500
Bi 0.500 0.000 0.000
Ba 0.000 0.500 0.000
Zr 0.000 0.000 0.000



# 14
! YCr2Cl PBE-GGA optimized geometry; values from VASP
! E_form (uncorrected) in kJ per mole of atoms: 32
! Total magnetic moment in μB/f.u.: 7.9
! Energy above the most stable polymorph in this dataset in eV/atom: 0.4672
&SYSTEM
  ibrav = 0, nat = 4, ntyp = 3
/
ATOMIC_SPECIES
Y 88.91 Y.upf
Cl 35.45 Cl.upf
Cr 52.00 Cr.upf
CELL_PARAMETERS angstrom
-2.295 5.945 6.443
-3.832 3.191 7.568
-0.593 3.698 8.252
ATOMIC_POSITIONS crystal
Y 0.250 0.250 0.250
Cl 0.750 0.750 0.750
Cr 0.491 0.491 0.491
Cr 0.009 0.009 0.009



# 15
! Tm3Ni9Ge2 PBE-GGA optimized geometry; values from VASP
! Formation energy in eV per formula unit: -5.80
! Total magnetic moment in μB/f.u.: 0.0
&SYSTEM
  ibrav = 0, nat = 14, ntyp = 3
/
ATOMIC_SPECIES
Ge 72.64 Ge.upf
Ni 58.69 Ni.upf
Tm 168.93 Tm.upf
CELL_PARAMETERS angstrom
3.961 0.000 0.000
1.980 7.361 0.212
1.980 1.875 7.122
ATOMIC_POSITIONS crystal
Ge 0.500 0.278 0.722
Ge 0.500 0.722 0.278
Ni 0.881 0.841 0.397
Ni 0.322 0.319 0.037
Ni 0.000 0.500 0.500
Ni 0.881 0.397 0.841
Ni 0.119 0.159 0.603
Ni 0.678 0.963 0.681
Ni 0.119 0.603 0.159
Ni 0.322 0.037 0.319
Ni 0.678 0.681 0.963
Tm 0.000 0.000 0.000
Tm 0.693 0.307 0.307
Tm 0.307 0.693 0.693



# 16
! NiAs3Pt PBE-GGA optimized geometry; values from VASP
! Formation energy in eV per formula unit: 2.43
! Total magnetic moment in μB/f.u.: 0.0
! Energy above the most stable polymorph in this dataset in eV/atom: 0.0000
&SYSTEM
  ibrav = 0, nat = 5, ntyp = 3
/
ATOMIC_SPECIES
As 74.92 As.upf
Ni 58.69 Ni.upf
Pt 195.08 Pt.upf
CELL_PARAMETERS angstrom
-2.600 3.359 -1.600
-1.941 -2.890 -2.913
-3.174 -0.984 3.092
ATOMIC_POSITIONS crystal
As 0.500 0.000 0.000
As 0.000 0.500 0.000
As 0.000 0.000 0.500
Ni 0.000 0.000 0.000
Pt 0.500 0.500 0.500



# 17
! GaHgN2O PBE-GGA optimized geometry; values from VASP
! E_form (uncorrected) in kJ per mole of atoms: 191
! Total magnetic moment in μB/f.u.: 2.4
&SYSTEM
  ibrav = 0, nat = 5, ntyp = 4
/
ATOMIC_SPECIES
Hg 200.59 Hg.upf
N 14.01 N.upf
O 16.00 O.upf
Ga 69.72 Ga.upf
CELL_PARAMETERS angstrom
4.046 0.000 0.000
0.000 4.463 0.000
0.000 0.000 4.046
ATOMIC_POSITIONS crystal
Hg 0.000 0.500 0.000
N 0.000 0.000 0.500
N 0.500 0.000 0.000
O 0.000 0.000 0.000
Ga 0.500 0.500 0.500



# 18
! AcTbCuRu PBE-GGA optimized geometry; values from VASP
! Formation energy in eV per formula unit: -0.53
! Total magnetic moment in μB/f.u.: 0.0
&SYSTEM
  ibrav = 0, nat = 4, ntyp = 4
/
ATOMIC_SPECIES
Ac 227.00 Ac.upf
Tb 158.93 Tb.upf
Cu 63.55 Cu.upf
Ru 101.07 Ru.upf
CELL_PARAMETERS angstrom
5.077 0.000 0.000
2.539 4.397 0.000
2.539 1.466 4.146
ATOMIC_POSITIONS crystal
Ac 0.000 0.000 0.000
Tb 0.500 0.500 0.500
Cu 0.250 0.250 0.250
Ru 0.750 0.750 0.750



# 19
! CaIn2Ni PBE-GGA optimized geometry; values from VASP
! Formation energy in eV per formula unit: -1.02
! Total magnetic moment in μB/f.u.: 0.0
&SYSTEM
  ibrav = 0, nat = 4, ntyp = 3
/
ATOMIC_SPECIES
In 114.82 In.upf
Ni 58.69 Ni.upf
Ca 40.08 Ca.upf
CELL_PARAMETERS angstrom
-2.113 2.514 -3.121
-2.552 -2.002 -3.163
-5.850 0.559 1.118
ATOMIC_POSITIONS crystal
In 0.207 0.207 0.378
In 0.966 0.966 0.103
Ni 0.572 0.572 0.283
Ca 0.755 0.755 0.735



# 20
! PrAgHg4 PBE-GGA optimized geometry; values from VASP
! Formation energy in eV per formula unit: -0.24
! Total magnetic moment in μB/f.u.: 0.0
! Energy above the most stable polymorph in this dataset in eV/atom: 0.1667
&SYSTEM
  ibrav = 0, nat = 6, ntyp = 3
/
ATOMIC_SPECIES
Hg 200.59 Hg.upf
Ag 107.87 Ag.upf
Pr 140.91 Pr.upf
CELL_PARAMETERS angstrom
5.956 0.000 0.000
2.978 5.158 0.000
2.978 1.719 4.863
ATOMIC_POSITIONS crystal
Hg 0.625 0.625 0.625
Hg 0.625 0.625 0.124
Hg 0.124 0.625 0.625
Hg 0.625 0.124 0.625
Ag 0.000 0.000 0.000
Pr 0.250 0.250 0.250



# 21
! Cs2RbSb2Pb PBE-GGA optimized geometry; values from VASP
! E_form (uncorrected) in kJ per mole of atoms: -35
! Total magnetic moment in μB/f.u.: 0.0
&SYSTEM
  ibrav = 0, nat = 12, ntyp = 4
/
ATOMIC_SPECIES
Cs 132.91 Cs.upf
Rb 85.47 Rb.upf
Sb 121.76 Sb.upf
Pb 207.20 Pb.upf
CELL_PARAMETERS angstrom
-7.622 -4.003 -1.187
2.577 -2.901 -6.763
5.553 -3.552 8.134
ATOMIC_POSITIONS crystal
Cs 0.106 0.324 0.648
Cs 0.894 0.676 0.352
Cs 0.458 0.176 0.352
Cs 0.542 0.824 0.648
Rb 0.000 0.750 0.000
Rb 0.000 0.250 0.000
Sb 0.401 0.601 0.201
Sb 0.599 0.399 0.799
Sb 0.800 0.101 0.201
Sb 0.200 0.899 0.799
Pb 0.500 0.750 0.000
Pb 0.500 0.250 0.000



# 22
! Sm3ZnRh2 PBE-GGA optimized geometry; values from VASP
! Formation energy in eV per formula unit: -3.67
! Total magnetic moment in μB/f.u.: 0.0
&SYSTEM
  ibrav = 0, nat = 24, ntyp = 3
/
ATOMIC_SPECIES
Sm 150.36 Sm.upf
Zn 65.41 Zn.upf
Rh 102.91 Rh.upf
CELL_PARAMETERS angstrom
-0.876 1.723 -3.520
5.844 -8.600 -5.663
-10.047 -6.408 -0.636
ATOMIC_POSITIONS crystal
Sm 0.250 0.375 0.055
Sm 0.750 0.925 0.131
Sm 0.250 0.125 0.555
Sm 0.250 0.075 0.869
Sm 0.750 0.575 0.631
Sm 0.250 0.678 0.202
Sm 0.750 0.625 0.945
Sm 0.750 0.178 0.298
Sm 0.750 0.875 0.445
Sm 0.750 0.322 0.798
Sm 0.250 0.822 0.702
Sm 0.250 0.425 0.369
Zn 0.250 0.379 0.621
Zn 0.750 0.621 0.379
Zn 0.750 0.879 0.879
Zn 0.250 0.121 0.121
Rh 0.250 0.694 0.493
Rh 0.750 0.194 0.007
Rh 0.250 0.007 0.314
Rh 0.250 0.806 0.993
Rh 0.750 0.306 0.507
Rh 0.250 0.493 0.814
Rh 0.750 0.507 0.186
Rh 0.750 0.993 0.686



# 23
! K3MgN PBE-GGA optimized geometry; values from VASP
! E_form (uncorrected) in kJ per mole of atoms: 52
! Total magnetic moment in μB/f.u.: 0.6
! Energy above the most stable polymorph in this dataset in eV/atom: 0.0000
&SYSTEM
  ibrav = 0, nat = 5, ntyp = 3
/
ATOMIC_SPECIES
K 39.10 K.upf
Mg 24.30 Mg.upf
N 14.01 N.upf
CELL_PARAMETERS angstrom
-4.273 -3.724 -0.528
2.047 -2.973 4.402
-3.156 3.114 3.570
ATOMIC_POSITIONS crystal
K 0.000 0.000 0.500
K 0.500 0.000 0.000
K 0.000 0.500 0.000
Mg 0.500 0.500 0.500
N 0.000 0.000 0.000



Number 1: calculated total energy -5.25 eV/atom. Number 2: calculated total energy -4.07 eV/atom. Number 3: calculated total energy -6.14 eV/atom. Number 4: calculated total energy -5.06 eV/atom. Number 5: calculated total energy -9.15 eV/atom. Number 6: calculated total energy -5.51 eV/atom. Number 7: calculated total energy -2.84 eV/atom. Number 8: calculated total energy -5.51 eV/atom. Number 9: calculated total energy -3.49 eV/atom. Number 10: calculated total energy -4.67 eV/atom. Number 11: calculated total energy -3.93 eV/atom. Number 12: calculated total energy -3.31 eV/atom. Number 13: calculated total energy -4.23 eV/atom. Number 14: calculated total energy -6.56 eV/atom. Number 15: calculated total energy -5.75 eV/atom. Number 16: calculated total energy -4.67 eV/atom. Number 17: calculated total energy -3.01 eV/atom. Number 18: calculated total energy -5.66 eV/atom. Number 19: calculated total energy -3.57 eV/atom. Number 20: calculated total energy -1.51 eV/atom. Number 21: calculated total energy -2.80 eV/atom. Number 22: calculated total energy -5.63 eV/atom. Number 23: calculated total energy -2.10 eV/atom.